The following is a DFT calculation (PBE+U) of a relaxed Al8Zn3CoO16 crystal.

Unit cell a=5.783 b=5.783 c=8.180 alpha=90.00 beta=90.00 gamma=90.00
Fractional coordinates of all 28 atoms:
Al 0.000 0.250 0.375
Al 0.000 0.750 0.375
Al 0.250 0.000 0.625
Al 0.250 0.500 0.125
Al 0.500 0.250 0.875
Al 0.500 0.750 0.875
Al 0.750 0.000 0.625
Al 0.750 0.500 0.125
Zn 0.000 0.000 0.000
Zn 0.000 0.500 0.750
Zn 0.500 0.000 0.250
Co 0.500 0.500 0.500
O 0.000 0.221 0.610
O 0.000 0.279 0.139
O 0.000 0.721 0.139
O 0.000 0.779 0.610
O 0.221 0.000 0.390
O 0.221 0.500 0.360
O 0.279 0.000 0.861
O 0.279 0.500 0.889
O 0.500 0.221 0.640
O 0.500 0.279 0.111
O 0.500 0.721 0.111
O 0.500 0.779 0.640
O 0.721 0.000 0.861
O 0.721 0.500 0.889
O 0.779 0.000 0.390
O 0.779 0.500 0.360

Total DFT energy (no corrections), Ry per atom: -0.501
Symmetry: P-4m2